# 1
A geometry-optimized LiTi2HgS structure. Source: Alexandria via LeMat-Bulk, functional PBE-GGA.

a = 5.093 Å, b = 5.093 Å, c = 4.551 Å
α = 90.00°, β = 90.00°, γ = 90.00°
Space group P4/mmm (No. 123)
One atom of each set of equivalent atoms:
Li (0.000, 0.000, 0.000) (multiplicity 1)
Ti (0.000, 0.500, 0.500) (multiplicity 2)
Hg (0.000, 0.000, 0.500) (multiplicity 1)
S (0.500, 0.500, 0.000) (multiplicity 1)

Calculated values
Raw formation energy = 0.691 eV/atom
M_tot = 1.89 μB/cell

=====

# 2
A geometry-optimized Li2TiHgS4 structure. Source: Alexandria via LeMat-Bulk, functional PBE-GGA.

a = 5.639 Å, b = 5.639 Å, c = 11.309 Å
α = 90.00°, β = 90.00°, γ = 90.00°
Space group I-42m (No. 121)
One atom of each set of equivalent atoms:
Li (0.000, 0.500, 0.250) (multiplicity 4)
Ti (0.000, 0.000, 0.000) (multiplicity 2)
Hg (0.000, 0.000, 0.500) (multiplicity 2)
S (0.226, 0.226, 0.876) (multiplicity 8)

Calculated values
Raw formation energy = -0.999 eV/atom
M_tot = 0.00 μB/cell

=====

# 3
A geometry-optimized LiTl2HgS4 structure. Source: Alexandria via LeMat-Bulk, functional PBE-GGA.

a = 8.496 Å, b = 8.795 Å, c = 11.595 Å
α = 90.00°, β = 90.00°, γ = 90.00°
Space group Fmm2 (No. 42)
One atom of each set of equivalent atoms:
Li (0.000, 0.000, 0.000) (multiplicity 4)
Tl (0.250, 0.250, 0.252) (multiplicity 8)
Hg (0.000, 0.000, 0.503) (multiplicity 4)
S (0.000, 0.243, 0.113) (multiplicity 8)
S (0.242, 0.000, 0.881) (multiplicity 8)

Calculated values
Raw formation energy = -0.351 eV/atom
M_tot = 0.00 μB/cell

=====

# 4
A geometry-optimized LiTlHgS2 structure. Source: Alexandria via LeMat-Bulk, functional PBE-GGA.

a = 13.580 Å, b = 4.172 Å, c = 9.260 Å
α = 90.00°, β = 100.43°, γ = 90.00°
Space group C2/m (No. 12)
One atom of each set of equivalent atoms:
Li (0.176, 0.000, 0.060) (multiplicity 4)
Tl (0.177, 0.000, 0.672) (multiplicity 4)
Hg (0.040, 0.500, 0.207) (multiplicity 4)
S (0.136, 0.000, 0.313) (multiplicity 4)
S (0.136, 0.500, 0.926) (multiplicity 4)

Calculated values
Raw formation energy = -0.533 eV/atom
M_tot = 0.00 μB/cell